Here is an optimized crystal structure of GdSnIr4 from Alexandria. Energies are from PBE.

## Properties
As for the uncorrected energy: -9.260 eV/atom. The total magnetization comes out at 6.4 μB/f.u. The calculation puts the mass density at 16.026 g cm⁻³.

a b c (Å): 7.566 7.566 7.566
angles (deg): 90.00 90.00 90.00
Space group F-43m (No. 216)
One atom of each set of equivalent atoms:
Gd 0.000 0.000 0.000 x4
Sn 0.250 0.250 0.750 x4
Ir 0.125 0.125 0.375 x16